A relaxed SiTcSb4 crystal, computed with PBE.

Calculated values
- Fermi-level density of states (states/eV per atom) = 0.5788
- calculated density (g cm⁻³) = 6.39
- uncorrected formation energy (eV per formula unit) = 6.61

Unit cell a=8.6035 b=8.6035 c=8.6035 alpha=90.00 beta=90.00 gamma=90.00
Space group F-43m (No. 216)
Inequivalent atoms, fractional coordinates:
Si 0.0000 0.0000 0.0000 (multiplicity 4)
Tc 0.2500 0.2500 0.2500 (multiplicity 4)
Sb 0.1249 0.1249 0.6249 (multiplicity 16)